! PBE-GGA AgPtPbCl6, relaxed; values from VASP
! Formation energy from raw total energies   -0.587 eV/atom
! Total moment   0.000 μB/atom
&SYSTEM
  ibrav = 0, nat = 18, ntyp = 4
/
ATOMIC_SPECIES
Cl 35.45 Cl.upf
Ag 107.87 Ag.upf
Pt 195.08 Pt.upf
Pb 207.20 Pb.upf
ATOMIC_POSITIONS crystal
Cl 0.946 0.315 0.126
Cl 0.369 0.315 0.374
Cl 0.315 0.369 0.874
Cl 0.685 0.631 0.126
Cl 0.315 0.946 0.626
Cl 0.054 0.369 0.626
Cl 0.631 0.685 0.626
Cl 0.685 0.054 0.374
Cl 0.631 0.946 0.874
Cl 0.946 0.631 0.374
Cl 0.054 0.685 0.874
Cl 0.369 0.054 0.126
Ag 0.000 0.000 0.500
Ag 0.000 0.000 0.000
Pt 0.333 0.667 0.750
Pt 0.667 0.333 0.250
Pb 0.667 0.333 0.750
Pb 0.333 0.667 0.250
CELL_PARAMETERS angstrom
6.829 0.000 0.000
-3.414 5.914 0.000
0.000 0.000 11.666